An optimized crystal structure of Gd3ErO. Source: the Alexandria database, functional PBE.

- Size of the total moment: 21.9 Bohr magnetons per cell
- Theoretical density: 8.794 g/cm3
- Space-group type: Pm-3m
- D(E_F): 6.50 states/eV/f.u.
- DFT total energy: -57.21 eV per cell
- E_form (uncorrected): -1088 meV per atom

a b c (Å): 4.9823 4.9823 4.9823
angles (deg): 90.00 90.00 90.00
Closest atoms and distances in Å follow each position.
Positions (direct):
Gd (0.0000, 0.0000, 0.5000)  2 O 2.49
O (0.0000, 0.0000, 0.0000)  6 Gd 2.49
Er (0.5000, 0.5000, 0.5000)  12 Gd 3.52
Gd (0.0000, 0.5000, 0.0000)  2 O 2.49
Gd (0.5000, 0.0000, 0.0000)  2 O 2.49

---

An optimized crystal structure of GdErO3. Source: the Alexandria database, functional PBE.

- Size of the total moment: 7.0 Bohr magnetons per cell
- Theoretical density: 7.996 g/cm3
- Space-group type: Pm-3m
- D(E_F): 4.12 states/eV/f.u.
- DFT total energy: -47.62 eV per cell
- E_form (uncorrected): -2819 meV per atom

a b c (Å): 4.2609 4.2609 4.2609
angles (deg): 90.00 90.00 90.00
Closest atoms and distances in Å follow each position.
Positions (direct):
O (0.5000, 0.5000, 0.0000)  2 Er 2.13
O (0.5000, 0.0000, 0.5000)  2 Er 2.13
O (0.0000, 0.5000, 0.5000)  2 Er 2.13
Er (0.5000, 0.5000, 0.5000)  6 O 2.13
Gd (0.0000, 0.0000, 0.0000)  12 O 3.01

---

An optimized crystal structure of GdErO3. Source: the Alexandria database, functional PBE.

- Size of the total moment: 0.0 Bohr magnetons per cell
- Theoretical density: 8.070 g/cm3
- Space-group type: C2
- D(E_F): 0.00 states/eV/f.u.
- DFT total energy: -410.26 eV per cell
- E_form (uncorrected): -3553 meV per atom

a b c (Å): 9.2710 9.2710 10.7021
angles (deg): 54.73 54.73 70.53
Closest atoms and distances in Å follow each position.
Positions (direct):
O (0.0249, 0.7684, 0.4933)  2 Er 2.25-2.34, 2 Gd 2.29-2.32
Gd (0.2800, 0.7200, 0.5000)  6 O 2.29-2.41
Gd (0.0018, 0.0037, 0.7500)  6 O 2.32-2.34
O (0.4911, 0.7689, 0.2207)  3 Gd 2.27-2.32, 1 Er 2.35
Gd (0.5300, 0.0308, 0.9702)  6 O 2.27-2.39
Er (0.0312, 0.5319, 0.4681)  6 O 2.23-2.36
O (0.2462, 0.0415, 0.7378)  3 Er 2.24-2.35, 1 Gd 2.33
Er (0.2485, 0.2491, 0.7817)  6 O 2.24-2.35
O (0.9696, 0.2300, 0.0042)  2 Er 2.25-2.26, 2 Gd 2.34-2.39
Er (0.7168, 0.2832, 0.0000)  6 O 2.25-2.33
O (0.2533, 0.4534, 0.5251)  2 Er 2.25, 2 Gd 2.34-2.41
O (0.2684, 0.9865, 0.0201)  2 Er 2.25-2.35, 2 Gd 2.29-2.32
O (0.2316, 0.9751, 0.5067)  2 Er 2.25-2.34, 2 Gd 2.29-2.32
O (0.0135, 0.7316, 0.9799)  2 Er 2.25-2.35, 2 Gd 2.29-2.32
O (0.2311, 0.5089, 0.7793)  3 Gd 2.27-2.32, 1 Er 2.35
O (0.4583, 0.2618, 0.0236)  2 Er 2.24-2.33, 2 Gd 2.32-2.33
Er (0.2512, 0.2515, 0.2819)  6 O 2.24-2.35
Gd (0.9692, 0.4700, 0.0298)  6 O 2.27-2.39
Gd (0.4987, 0.4985, 0.2509)  6 O 2.32-2.34
O (0.7254, 0.0087, 0.4812)  2 Er 2.23-2.35, 2 Gd 2.31-2.32
O (0.7615, 0.9531, 0.7623)  1 Er 2.25, 3 Gd 2.32-2.38
O (0.7740, 0.4868, 0.7195)  3 Er 2.25-2.35, 1 Gd 2.32
Er (0.4681, 0.9688, 0.5319)  6 O 2.23-2.36
Gd (0.5015, 0.5013, 0.7491)  6 O 2.32-2.34
Er (0.7485, 0.7488, 0.7181)  6 O 2.24-2.35
O (0.7700, 0.0304, 0.9958)  2 Er 2.25-2.26, 2 Gd 2.34-2.39
O (0.9585, 0.7538, 0.2622)  3 Er 2.24-2.35, 1 Gd 2.33
Er (0.2187, 0.7813, 0.0000)  6 O 2.25-2.35
O (0.4694, 0.7312, 0.7926)  3 Er 2.25-2.36, 1 Gd 2.33
Gd (0.9963, 0.9982, 0.2500)  6 O 2.32-2.34
O (0.5251, 0.2700, 0.7092)  1 Er 2.25, 3 Gd 2.29-2.38
O (0.5132, 0.2260, 0.2805)  3 Er 2.25-2.35, 1 Gd 2.32
O (0.9913, 0.2746, 0.5188)  2 Er 2.23-2.35, 2 Gd 2.31-2.32
O (0.7300, 0.4749, 0.2908)  1 Er 2.25, 3 Gd 2.29-2.38
Gd (0.7819, 0.2181, 0.5000)  6 O 2.29-2.38
O (0.0469, 0.2385, 0.2377)  1 Er 2.25, 3 Gd 2.32-2.38
Er (0.7509, 0.7515, 0.2183)  6 O 2.24-2.35
O (0.5466, 0.7467, 0.4749)  2 Er 2.25, 2 Gd 2.34-2.41
O (0.2688, 0.5306, 0.2074)  3 Er 2.25-2.36, 1 Gd 2.33
O (0.7382, 0.5417, 0.9764)  2 Er 2.24-2.33, 2 Gd 2.32-2.33

---

An optimized crystal structure of GdErOs4. Source: the Alexandria database, functional PBE.

- Size of the total moment: 6.6 Bohr magnetons per cell
- Theoretical density: 16.567 g/cm3
- Space-group type: F-43m
- D(E_F): 5.24 states/eV/f.u.
- Energy of formation from the pure elements: -25.23 kJ per mole of atoms
- DFT total energy: -65.13 eV per cell

a b c (Å): 5.3585 5.3585 5.3585
angles (deg): 60.00 60.00 60.00
Closest atoms and distances in Å follow each position.
Positions (direct):
Er (0.0000, 0.0000, 0.0000)  12 Os 3.14, 4 Gd 3.28
Os (0.6251, 0.1247, 0.6251)  6 Os 2.68
Gd (0.2500, 0.2500, 0.2500)  12 Os 3.14, 4 Er 3.28
Os (0.6251, 0.6251, 0.1247)  6 Os 2.68
Os (0.6251, 0.6251, 0.6251)  6 Os 2.68
Os (0.1247, 0.6251, 0.6251)  6 Os 2.68

---

An optimized crystal structure of Gd2ErOs. Source: the Alexandria database, functional PBE.

- Offset from the most stable computed form: 0.337 eV/atom
- Size of the total moment: 15.0 Bohr magnetons per cell
- Theoretical density: 9.966 g/cm3
- Space-group type: R-3m
- D(E_F): 5.14 states/eV/f.u.
- Energy of formation from the pure elements: 28.42 kJ per mole of atoms
- DFT total energy: -42.78 eV per cell

a b c (Å): 3.4639 3.4639 10.9591
angles (deg): 80.91 80.91 60.00
Closest atoms and distances in Å follow each position.
Positions (direct):
Os (0.5000, 0.5000, 0.5000)  6 Gd 2.84
Gd (0.1045, 0.1045, 0.6865)  3 Os 2.84
Er (0.0000, 0.0000, 0.0000)  2 Gd 3.38, 6 Er 3.46
Gd (0.8955, 0.8955, 0.3135)  3 Os 2.84

---

An optimized crystal structure of GdEr3Os. Source: the Alexandria database, functional PBE.

- Size of the total moment: 7.8 Bohr magnetons per cell
- Theoretical density: 9.024 g/cm3
- Space-group type: Pm-3m
- D(E_F): 8.69 states/eV/f.u.
- Energy of formation from the pure elements: -1.80 kJ per mole of atoms
- DFT total energy: -39.09 eV per cell

a b c (Å): 5.3864 5.3864 5.3864
angles (deg): 90.00 90.00 90.00
Closest atoms and distances in Å follow each position.
Positions (direct):
Er (0.5000, 0.0000, 0.0000)  2 Os 2.69
Er (0.0000, 0.5000, 0.0000)  2 Os 2.69
Gd (0.5000, 0.5000, 0.5000)  12 Er 3.81
Er (0.0000, 0.0000, 0.5000)  2 Os 2.69
Os (0.0000, 0.0000, 0.0000)  6 Er 2.69

---

An optimized crystal structure of Gd2ErOs. Source: the Alexandria database, functional PBE.

- Offset from the most stable computed form: 0.000 eV/atom
- Size of the total moment: 14.2 Bohr magnetons per cell
- Theoretical density: 10.306 g/cm3
- Space-group type: P4/mmm
- D(E_F): 4.30 states/eV/f.u.
- Energy of formation from the pure elements: -4.09 kJ per mole of atoms
- DFT total energy: -44.12 eV per cell

a b c (Å): 3.4043 3.4043 9.3423
angles (deg): 90.00 90.00 90.00
Closest atoms and distances in Å follow each position.
Positions (direct):
Er (0.5000, 0.5000, 0.5000)  4 Er 3.40
Gd (0.0000, 0.0000, 0.1816)  4 Os 2.94
Gd (0.0000, 0.0000, 0.8184)  4 Os 2.94
Os (0.5000, 0.5000, 0.0000)  8 Gd 2.94

---

An optimized crystal structure of GdErOs. Source: the Alexandria database, functional PBE.

- Offset from the most stable computed form: 0.023 eV/atom
- Size of the total moment: 7.1 Bohr magnetons per cell
- Theoretical density: 11.085 g/cm3
- Space-group type: F-43m
- D(E_F): 1.49 states/eV/f.u.
- Energy of formation from the pure elements: -19.96 kJ per mole of atoms
- DFT total energy: -30.49 eV per cell

a b c (Å): 4.7775 4.7775 4.7775
angles (deg): 60.00 60.00 60.00
Closest atoms and distances in Å follow each position.
Positions (direct):
Gd (0.5000, 0.5000, 0.5000)  4 Os 2.93
Er (0.0000, 0.0000, 0.0000)  4 Os 2.93
Os (0.2500, 0.2500, 0.2500)  4 Gd 2.93, 4 Er 2.93

---

An optimized crystal structure of GdErOs. Source: the Alexandria database, functional PBE.

- Offset from the most stable computed form: 0.000 eV/atom
- Size of the total moment: 7.1 Bohr magnetons per cell
- Theoretical density: 11.275 g/cm3
- Space-group type: I4mm
- D(E_F): 1.44 states/eV/f.u.
- Energy of formation from the pure elements: -22.15 kJ per mole of atoms
- DFT total energy: -30.56 eV per cell

a b c (Å): 3.3911 3.3911 7.0152
angles (deg): 103.99 103.99 90.00
Closest atoms and distances in Å follow each position.
Positions (direct):
Gd (0.0397, 0.0397, 0.0794)  4 Os 2.94
Os (0.6688, 0.6688, 0.3376)  4 Er 2.89, 4 Gd 2.94
Er (0.2915, 0.2915, 0.5831)  4 Os 2.89

---

An optimized crystal structure of GdErOs2. Source: the Alexandria database, functional PBE.

- Size of the total moment: 6.7 Bohr magnetons per cell
- Theoretical density: 14.802 g/cm3
- Space-group type: P4/mmm
- D(E_F): 4.28 states/eV/f.u.
- Energy of formation from the pure elements: -1.79 kJ per mole of atoms
- DFT total energy: -41.18 eV per cell

a b c (Å): 3.4099 4.8158 4.8158
angles (deg): 90.00 90.00 90.00
Closest atoms and distances in Å follow each position.
Positions (direct):
Os (0.0000, 0.5000, 0.0000)  4 Gd 2.95, 4 Er 2.95
Gd (0.5000, 0.5000, 0.5000)  8 Os 2.95
Os (0.0000, 0.0000, 0.5000)  4 Gd 2.95, 4 Er 2.95
Er (0.5000, 0.0000, 0.0000)  8 Os 2.95

---

An optimized crystal structure of GdEr2Os. Source: the Alexandria database, functional PBE.

- Size of the total moment: 7.3 Bohr magnetons per cell
- Theoretical density: 12.226 g/cm3
- Space-group type: Fm-3m
- D(E_F): 5.53 states/eV/f.u.
- Energy of formation from the pure elements: 8.68 kJ per mole of atoms
- DFT total energy: -34.08 eV per cell

a b c (Å): 5.0788 5.0788 5.0787
angles (deg): 60.00 60.00 60.00
Closest atoms and distances in Å follow each position.
Positions (direct):
Os (0.0000, 0.0000, 0.0000)  8 Er 3.11
Gd (0.5000, 0.5000, 0.5000)  8 Er 3.11
Er (0.2500, 0.2500, 0.2500)  4 Gd 3.11, 4 Os 3.11
Er (0.7500, 0.7500, 0.7500)  4 Gd 3.11, 4 Os 3.11

---

An optimized crystal structure of GdErOsPd. Source: the Alexandria database, functional PBE.

- Size of the total moment: 7.1 Bohr magnetons per cell
- Theoretical density: 12.571 g/cm3
- Space-group type: F-43m
- D(E_F): 2.08 states/eV/f.u.
- Energy of formation from the pure elements: -50.93 kJ per mole of atoms
- DFT total energy: -37.18 eV per cell

a b c (Å): 4.8776 4.8776 4.8776
angles (deg): 60.00 60.00 60.00
Closest atoms and distances in Å follow each position.
Positions (direct):
Pd (0.0000, 0.0000, 0.0000)  4 Gd 2.99, 4 Er 2.99
Gd (0.7500, 0.7500, 0.7500)  4 Os 2.99, 4 Pd 2.99
Er (0.2500, 0.2500, 0.2500)  4 Os 2.99, 4 Pd 2.99
Os (0.5000, 0.5000, 0.5000)  4 Er 2.99, 4 Gd 2.99